This record from Alexandria via LeMat-Bulk describes an optimized crystal structure of Mg7TeI12. The functional is GGA-PBE.

For the density of states at the Fermi level, the calculation gives 0.00 states/eV per cell. As for the formation energy without anion corrections: -972 meV/atom. The value obtained for the total energy is -2.617 eV/atom.

The structure belongs to space group R-3 (No. 148, hexagonal axes); the cell edges are 15.3704, 15.3704 and 10.3801 Å and the angles 90.00°, 90.00° and 120.00°. Symmetry generates all atoms from Mg at (0.0000, 0.0000, 0.0000), Mg at (0.0554, 0.8766, 0.3312), Te at (0.0000, 0.0000, 0.5000), I at (0.0291, 0.4447, 0.1588) and I at (0.0563, 0.8821, 0.8309).